Entry 1:
# InSnW3 GGA-PBE optimized geometry
data_InSnW3
_cell_length_a 4.907
_cell_length_b 4.907
_cell_length_c 4.907
_cell_angle_alpha 90.00
_cell_angle_beta 90.00
_cell_angle_gamma 90.00
_symmetry_space_group_name_H-M 'P 1'
_symmetry_Int_Tables_number 1
_symmetry_space_group_name_Hall 'P 1'
loop_
_atom_site_label
_atom_site_fract_x
_atom_site_fract_y
_atom_site_fract_z
In1 0.000 0.000 0.000
Sn1 0.500 0.500 0.500
W1 0.000 0.500 0.500
W2 0.500 0.000 0.500
W3 0.500 0.500 0.000
# **Space-group type**: Pm-3m, No. 221



Entry 2:
# ZnInSn2W GGA-PBE optimized geometry
data_ZnInSn2W
_cell_length_a 5.273
_cell_length_b 5.273
_cell_length_c 5.386
_cell_angle_alpha 90.00
_cell_angle_beta 90.00
_cell_angle_gamma 90.00
_symmetry_space_group_name_H-M 'P 1'
_symmetry_Int_Tables_number 1
_symmetry_space_group_name_Hall 'P 1'
loop_
_atom_site_label
_atom_site_fract_x
_atom_site_fract_y
_atom_site_fract_z
Zn1 0.000 0.000 0.000
In1 0.500 0.500 0.000
Sn1 0.000 0.500 0.500
Sn2 0.500 0.000 0.500
W1 0.500 0.500 0.500
# **Space-group type**: P4/mmm, No. 123



Entry 3:
# ZrInSn2W GGA-PBE optimized geometry
data_ZrInSn2W
_cell_length_a 5.472
_cell_length_b 5.472
_cell_length_c 5.471
_cell_angle_alpha 90.00
_cell_angle_beta 90.00
_cell_angle_gamma 90.00
_symmetry_space_group_name_H-M 'P 1'
_symmetry_Int_Tables_number 1
_symmetry_space_group_name_Hall 'P 1'
loop_
_atom_site_label
_atom_site_fract_x
_atom_site_fract_y
_atom_site_fract_z
Zr1 0.000 0.000 0.000
In1 0.000 0.000 0.500
Sn1 0.000 0.500 0.000
Sn2 0.500 0.000 0.000
W1 0.500 0.500 0.500
# **Space-group type**: P4/mmm, No. 123



Entry 4:
# Y3InSn GGA-PBE optimized geometry
data_Y3InSn
_cell_length_a 10.839
_cell_length_b 10.839
_cell_length_c 10.839
_cell_angle_alpha 128.40
_cell_angle_beta 65.08
_cell_angle_gamma 143.16
_symmetry_space_group_name_H-M 'P 1'
_symmetry_Int_Tables_number 1
_symmetry_space_group_name_Hall 'P 1'
loop_
_atom_site_label
_atom_site_fract_x
_atom_site_fract_y
_atom_site_fract_z
Y1 0.047 0.253 0.300
Y2 0.071 0.250 0.821
Y3 0.143 0.618 0.761
Y4 0.357 0.118 0.476
Y5 0.429 0.250 0.179
Y6 0.453 0.753 0.206
Y7 0.547 0.247 0.794
Y8 0.571 0.750 0.821
Y9 0.643 0.882 0.524
Y10 0.857 0.382 0.239
Y11 0.929 0.750 0.179
Y12 0.953 0.747 0.700
In1 0.250 0.250 0.000
In2 0.250 0.750 0.500
In3 0.750 0.250 0.500
In4 0.750 0.750 0.000
Sn1 0.212 0.306 0.518
Sn2 0.288 0.806 0.094
Sn3 0.712 0.194 0.906
Sn4 0.788 0.694 0.482
# **Space-group type**: Ibam, No. 72



Entry 5:
# Y2In3Sn3 GGA-PBE optimized geometry
data_Y2In3Sn3
_cell_length_a 4.614
_cell_length_b 4.850
_cell_length_c 9.165
_cell_angle_alpha 90.00
_cell_angle_beta 90.00
_cell_angle_gamma 90.00
_symmetry_space_group_name_H-M 'P 1'
_symmetry_Int_Tables_number 1
_symmetry_space_group_name_Hall 'P 1'
loop_
_atom_site_label
_atom_site_fract_x
_atom_site_fract_y
_atom_site_fract_z
Y1 0.000 0.000 0.249
Y2 0.000 0.000 0.751
In1 0.000 0.500 0.500
In2 0.500 0.500 0.254
In3 0.500 0.500 0.746
Sn1 0.000 0.500 0.000
Sn2 0.500 0.000 0.000
Sn3 0.500 0.000 0.500
# **Space-group type**: Pmmm, No. 47



Entry 6:
# Y2InSn GGA-PBE optimized geometry
data_Y2InSn
_cell_length_a 3.939
_cell_length_b 3.939
_cell_length_c 6.927
_cell_angle_alpha 90.00
_cell_angle_beta 90.00
_cell_angle_gamma 90.00
_symmetry_space_group_name_H-M 'P 1'
_symmetry_Int_Tables_number 1
_symmetry_space_group_name_Hall 'P 1'
loop_
_atom_site_label
_atom_site_fract_x
_atom_site_fract_y
_atom_site_fract_z
Y1 0.000 0.000 0.246
Y2 0.000 0.000 0.754
In1 0.500 0.500 0.500
Sn1 0.500 0.500 0.000
# **Space-group type**: P4/mmm, No. 123



Entry 7:
# Y2InSn3 GGA-PBE optimized geometry
data_Y2InSn3
_cell_length_a 4.383
_cell_length_b 15.366
_cell_length_c 4.642
_cell_angle_alpha 90.00
_cell_angle_beta 90.00
_cell_angle_gamma 90.00
_symmetry_space_group_name_H-M 'P 1'
_symmetry_Int_Tables_number 1
_symmetry_space_group_name_Hall 'P 1'
loop_
_atom_site_label
_atom_site_fract_x
_atom_site_fract_y
_atom_site_fract_z
Y1 0.000 0.150 0.000
Y2 0.000 0.850 0.000
Y3 0.500 0.350 0.000
Y4 0.500 0.650 0.000
In1 0.000 0.000 0.500
In2 0.500 0.500 0.500
Sn1 0.000 0.322 0.500
Sn2 0.000 0.500 0.000
Sn3 0.000 0.678 0.500
Sn4 0.500 0.000 0.000
Sn5 0.500 0.178 0.500
Sn6 0.500 0.822 0.500
# **Space-group type**: Cmmm, No. 65



Entry 8:
# Y8In2Sn GGA-PBE optimized geometry
data_Y8In2Sn
_cell_length_a 8.561
_cell_length_b 8.561
_cell_length_c 5.607
_cell_angle_alpha 101.54
_cell_angle_beta 101.54
_cell_angle_gamma 117.69
_symmetry_space_group_name_H-M 'P 1'
_symmetry_Int_Tables_number 1
_symmetry_space_group_name_Hall 'P 1'
loop_
_atom_site_label
_atom_site_fract_x
_atom_site_fract_y
_atom_site_fract_z
Y1 0.093 0.326 0.621
Y2 0.218 0.782 0.000
Y3 0.326 0.093 0.621
Y4 0.397 0.397 0.203
Y5 0.603 0.603 0.797
Y6 0.674 0.907 0.379
Y7 0.782 0.218 0.000
Y8 0.907 0.674 0.379
In1 0.305 0.695 0.500
In2 0.695 0.305 0.500
Sn1 0.000 0.000 0.000
# **Space-group type**: C2/m, No. 12



Entry 9:
# Y3InSn3 GGA-PBE optimized geometry
data_Y3InSn3
_cell_length_a 8.786
_cell_length_b 8.786
_cell_length_c 5.670
_cell_angle_alpha 90.00
_cell_angle_beta 90.00
_cell_angle_gamma 120.00
_symmetry_space_group_name_H-M 'P 1'
_symmetry_Int_Tables_number 1
_symmetry_space_group_name_Hall 'P 1'
loop_
_atom_site_label
_atom_site_fract_x
_atom_site_fract_y
_atom_site_fract_z
Y1 0.091 0.646 0.250
Y2 0.354 0.445 0.250
Y3 0.445 0.091 0.750
Y4 0.555 0.909 0.250
Y5 0.646 0.555 0.750
Y6 0.909 0.354 0.750
In1 0.333 0.667 0.750
In2 0.667 0.333 0.250
Sn1 0.053 0.800 0.750
Sn2 0.200 0.253 0.750
Sn3 0.253 0.053 0.250
Sn4 0.747 0.947 0.750
Sn5 0.800 0.747 0.250
Sn6 0.947 0.200 0.250
# **Space-group type**: P6_3/m, No. 176



Entry 10:
# Y5In2Sn GGA-PBE optimized geometry
data_Y5In2Sn
_cell_length_a 9.040
_cell_length_b 9.040
_cell_length_c 9.040
_cell_angle_alpha 126.49
_cell_angle_beta 126.49
_cell_angle_gamma 79.09
_symmetry_space_group_name_H-M 'P 1'
_symmetry_Int_Tables_number 1
_symmetry_space_group_name_Hall 'P 1'
loop_
_atom_site_label
_atom_site_fract_x
_atom_site_fract_y
_atom_site_fract_z
Y1 0.000 0.000 0.000
Y2 0.009 0.509 0.821
Y3 0.188 0.009 0.500
Y4 0.312 0.812 0.821
Y5 0.491 0.312 0.500
Y6 0.500 0.500 0.000
Y7 0.509 0.688 0.500
Y8 0.688 0.188 0.179
Y9 0.812 0.991 0.500
Y10 0.991 0.491 0.179
In1 0.134 0.366 0.500
In2 0.366 0.866 0.232
In3 0.634 0.134 0.768
In4 0.866 0.634 0.500
Sn1 0.250 0.250 0.000
Sn2 0.750 0.750 0.000
# **Space-group type**: I4/mcm, No. 140



Entry 11:
# Y3In2Sn GGA-PBE optimized geometry
data_Y3In2Sn
_cell_length_a 12.513
_cell_length_b 4.712
_cell_length_c 11.455
_cell_angle_alpha 90.00
_cell_angle_beta 90.00
_cell_angle_gamma 90.00
_symmetry_space_group_name_H-M 'P 1'
_symmetry_Int_Tables_number 1
_symmetry_space_group_name_Hall 'P 1'
loop_
_atom_site_label
_atom_site_fract_x
_atom_site_fract_y
_atom_site_fract_z
Y1 0.043 0.250 0.116
Y2 0.138 0.750 0.582
Y3 0.213 0.250 0.824
Y4 0.287 0.750 0.324
Y5 0.362 0.250 0.082
Y6 0.457 0.750 0.616
Y7 0.543 0.250 0.384
Y8 0.638 0.750 0.918
Y9 0.713 0.250 0.676
Y10 0.787 0.750 0.176
Y11 0.862 0.250 0.418
Y12 0.957 0.750 0.884
In1 0.002 0.750 0.303
In2 0.183 0.750 0.038
In3 0.317 0.250 0.538
In4 0.498 0.250 0.803
In5 0.502 0.750 0.197
In6 0.683 0.750 0.462
In7 0.817 0.250 0.962
In8 0.998 0.250 0.697
Sn1 0.128 0.250 0.383
Sn2 0.372 0.750 0.883
Sn3 0.628 0.250 0.117
Sn4 0.872 0.750 0.617
# **Space-group type**: Pnma, No. 62



Entry 12:
# Y3InSn GGA-PBE optimized geometry
data_Y3InSn
_cell_length_a 5.659
_cell_length_b 5.659
_cell_length_c 5.659
_cell_angle_alpha 90.00
_cell_angle_beta 90.00
_cell_angle_gamma 90.00
_symmetry_space_group_name_H-M 'P 1'
_symmetry_Int_Tables_number 1
_symmetry_space_group_name_Hall 'P 1'
loop_
_atom_site_label
_atom_site_fract_x
_atom_site_fract_y
_atom_site_fract_z
Y1 0.000 0.000 0.500
Y2 0.000 0.500 0.000
Y3 0.500 0.000 0.000
In1 0.500 0.500 0.500
Sn1 0.000 0.000 0.000
# **Space-group type**: Pm-3m, No. 221



Entry 13:
# Y2InSn GGA-PBE optimized geometry
data_Y2InSn
_cell_length_a 4.944
_cell_length_b 4.944
_cell_length_c 4.359
_cell_angle_alpha 90.00
_cell_angle_beta 90.00
_cell_angle_gamma 90.00
_symmetry_space_group_name_H-M 'P 1'
_symmetry_Int_Tables_number 1
_symmetry_space_group_name_Hall 'P 1'
loop_
_atom_site_label
_atom_site_fract_x
_atom_site_fract_y
_atom_site_fract_z
Y1 0.000 0.500 0.000
Y2 0.500 0.000 0.000
In1 0.000 0.000 0.500
Sn1 0.500 0.500 0.500
# **Space-group type**: P4/mmm, No. 123



Entry 14:
# Y8In3Sn2 GGA-PBE optimized geometry
data_Y8In3Sn2
_cell_length_a 9.171
_cell_length_b 9.171
_cell_length_c 5.095
_cell_angle_alpha 90.00
_cell_angle_beta 90.00
_cell_angle_gamma 111.29
_symmetry_space_group_name_H-M 'P 1'
_symmetry_Int_Tables_number 1
_symmetry_space_group_name_Hall 'P 1'
loop_
_atom_site_label
_atom_site_fract_x
_atom_site_fract_y
_atom_site_fract_z
Y1 0.118 0.882 0.000
Y2 0.123 0.377 0.500
Y3 0.366 0.634 0.000
Y4 0.377 0.123 0.500
Y5 0.623 0.877 0.500
Y6 0.634 0.366 0.000
Y7 0.877 0.623 0.500
Y8 0.882 0.118 0.000
In1 0.253 0.253 0.000
In2 0.500 0.500 0.500
In3 0.747 0.747 0.000
Sn1 0.241 0.759 0.500
Sn2 0.759 0.241 0.500
# **Space-group type**: Cmmm, No. 65



Entry 15:
# Y2InSn GGA-PBE optimized geometry
data_Y2InSn
_cell_length_a 3.780
_cell_length_b 3.780
_cell_length_c 28.040
_cell_angle_alpha 90.00
_cell_angle_beta 90.00
_cell_angle_gamma 120.00
_symmetry_space_group_name_H-M 'P 1'
_symmetry_Int_Tables_number 1
_symmetry_space_group_name_Hall 'P 1'
loop_
_atom_site_label
_atom_site_fract_x
_atom_site_fract_y
_atom_site_fract_z
Y1 0.000 0.000 0.249
Y2 0.000 0.000 0.751
Y3 0.333 0.667 0.418
Y4 0.333 0.667 0.915
Y5 0.667 0.333 0.085
Y6 0.667 0.333 0.582
In1 0.000 0.000 0.000
In2 0.333 0.667 0.667
In3 0.667 0.333 0.333
Sn1 0.000 0.000 0.500
Sn2 0.333 0.667 0.167
Sn3 0.667 0.333 0.833
# **Space-group type**: R-3m, No. 166



Entry 16:
# Y2In9Sn GGA-PBE optimized geometry
data_Y2In9Sn
_cell_length_a 4.639
_cell_length_b 4.639
_cell_length_c 14.408
_cell_angle_alpha 90.00
_cell_angle_beta 90.00
_cell_angle_gamma 90.00
_symmetry_space_group_name_H-M 'P 1'
_symmetry_Int_Tables_number 1
_symmetry_space_group_name_Hall 'P 1'
loop_
_atom_site_label
_atom_site_fract_x
_atom_site_fract_y
_atom_site_fract_z
Y1 0.000 0.000 0.160
Y2 0.000 0.000 0.840
In1 0.000 0.500 0.000
In2 0.000 0.500 0.330
In3 0.000 0.500 0.670
In4 0.500 0.000 0.000
In5 0.500 0.000 0.330
In6 0.500 0.000 0.670
In7 0.500 0.500 0.163
In8 0.500 0.500 0.500
In9 0.500 0.500 0.837
Sn1 0.000 0.000 0.500
# **Space-group type**: P4/mmm, No. 123



Entry 17:
# YInSn GGA-PBE optimized geometry
data_YInSn
_cell_length_a 10.717
_cell_length_b 8.679
_cell_length_c 7.774
_cell_angle_alpha 81.09
_cell_angle_beta 53.14
_cell_angle_gamma 45.77
_symmetry_space_group_name_H-M 'P 1'
_symmetry_Int_Tables_number 1
_symmetry_space_group_name_Hall 'P 1'
loop_
_atom_site_label
_atom_site_fract_x
_atom_site_fract_y
_atom_site_fract_z
Y1 0.079 0.671 0.079
Y2 0.329 0.921 0.329
Y3 0.671 0.079 0.671
Y4 0.921 0.329 0.921
In1 0.036 0.036 0.214
In2 0.214 0.214 0.036
In3 0.786 0.786 0.964
In4 0.964 0.964 0.786
Sn1 0.000 0.500 0.500
Sn2 0.500 0.000 0.500
Sn3 0.500 0.500 0.000
Sn4 0.500 0.500 0.500
# **Space-group type**: Fddd, No. 70



Entry 18:
# Y2InSn GGA-PBE optimized geometry
data_Y2InSn
_cell_length_a 8.306
_cell_length_b 8.306
_cell_length_c 6.832
_cell_angle_alpha 90.00
_cell_angle_beta 90.00
_cell_angle_gamma 90.00
_symmetry_space_group_name_H-M 'P 1'
_symmetry_Int_Tables_number 1
_symmetry_space_group_name_Hall 'P 1'
loop_
_atom_site_label
_atom_site_fract_x
_atom_site_fract_y
_atom_site_fract_z
Y1 0.245 0.250 0.125
Y2 0.250 0.745 0.375
Y3 0.250 0.755 0.875
Y4 0.255 0.250 0.625
Y5 0.745 0.750 0.625
Y6 0.750 0.245 0.875
Y7 0.750 0.255 0.375
Y8 0.755 0.750 0.125
In1 0.000 0.000 0.500
In2 0.000 0.500 0.750
In3 0.500 0.000 0.250
In4 0.500 0.500 0.000
Sn1 0.000 0.000 0.000
Sn2 0.000 0.500 0.250
Sn3 0.500 0.000 0.750
Sn4 0.500 0.500 0.500
# **Space-group type**: I-42d, No. 122



Entry 19:
# Y5In2Sn GGA-PBE optimized geometry
data_Y5In2Sn
_cell_length_a 7.454
_cell_length_b 7.454
_cell_length_c 8.006
_cell_angle_alpha 90.00
_cell_angle_beta 90.00
_cell_angle_gamma 90.00
_symmetry_space_group_name_H-M 'P 1'
_symmetry_Int_Tables_number 1
_symmetry_space_group_name_Hall 'P 1'
loop_
_atom_site_label
_atom_site_fract_x
_atom_site_fract_y
_atom_site_fract_z
Y1 0.000 0.000 0.000
Y2 0.236 0.236 0.292
Y3 0.236 0.764 0.292
Y4 0.264 0.264 0.792
Y5 0.264 0.736 0.792
Y6 0.500 0.500 0.500
Y7 0.736 0.264 0.792
Y8 0.736 0.736 0.792
Y9 0.764 0.236 0.292
Y10 0.764 0.764 0.292
In1 0.000 0.500 0.037
In2 0.000 0.500 0.537
In3 0.500 0.000 0.037
In4 0.500 0.000 0.537
Sn1 0.000 0.000 0.580
Sn2 0.500 0.500 0.080
# **Space-group type**: I4mm, No. 107



Entry 20:
# YInSn GGA-PBE optimized geometry
data_YInSn
_cell_length_a 5.187
_cell_length_b 5.187
_cell_length_c 3.381
_cell_angle_alpha 90.00
_cell_angle_beta 90.00
_cell_angle_gamma 120.00
_symmetry_space_group_name_H-M 'P 1'
_symmetry_Int_Tables_number 1
_symmetry_space_group_name_Hall 'P 1'
loop_
_atom_site_label
_atom_site_fract_x
_atom_site_fract_y
_atom_site_fract_z
Y1 0.000 0.000 0.000
In1 0.333 0.667 0.497
Sn1 0.667 0.333 0.503
# **Space-group type**: P3m1, No. 156



E_form values, unit meV per atom, following the record order: 2532, 536, 1532, -480, -431, -542, -576, -221, -439, -510, -476, 14, -578, -385, -446, -235, -192, -284, -369, -379.
N(E_F) values, unit states/eV/f.u., following the record order: 5.1, 3.0, 3.6, 4.7, 3.7, 3.9, 2.5, 13.2, 5.8, 7.5, 4.9, 1.6, 2.8, 14.3, 2.1, 5.5, 1.5, 2.7, 10.3, 2.3.